The following is a DFT calculation (PBE) of a relaxed structure of Pm2SmY2Er.

```
data_Pm2SmY2Er
_cell_length_a 6.662
_cell_length_b 17.967
_cell_length_c 3.394
_cell_angle_alpha 90.00
_cell_angle_beta 90.00
_cell_angle_gamma 90.00
_symmetry_space_group_name_H-M 'P n n m'
_symmetry_Int_Tables_number 58
loop_
_symmetry_equiv_pos_as_xyz
'x,y,z'
'-x,-y,-z'
'-x,-y,z'
'x,y,-z'
'x+1/2,-y+1/2,-z+1/2'
'-x+1/2,y+1/2,z+1/2'
'-x+1/2,y+1/2,-z+1/2'
'x+1/2,-y+1/2,z+1/2'
loop_
_atom_site_label
_atom_site_fract_x
_atom_site_fract_y
_atom_site_fract_z
Pm1 0.233 0.182 0.000
Sm1 0.000 0.500 0.000
Y1 0.231 0.352 0.500
Er1 0.000 0.000 0.000
```

Results
E_form ... 278 meV/atom
Calculated total energy ... -60.091 eV for the cell shown